Here is crystalline Li2TaCd at its relaxed geometry from the Alexandria database. Energies are from PBE.

abc: 7.107 7.107 5.633
angles: 90.00 90.00 90.00
Sites, in units of the cell vectors:
Li 0.231 0.250 0.125
Li 0.250 0.731 0.375
Li 0.250 0.769 0.875
Li 0.269 0.250 0.625
Li 0.731 0.750 0.625
Li 0.750 0.231 0.875
Li 0.750 0.269 0.375
Li 0.769 0.750 0.125
Ta 0.000 0.000 0.500
Ta 0.000 0.500 0.750
Ta 0.500 0.000 0.250
Ta 0.500 0.500 0.000
Cd 0.000 0.000 0.000
Cd 0.000 0.500 0.250
Cd 0.500 0.000 0.750
Cd 0.500 0.500 0.500

Summary:
- Fermi-level density of states (states/eV/f.u.) = 3.62
- formation energy (eV per atom) = 0.77
- total moment (Bohr magnetons per cell) = 0.0
- calculated density (g cm⁻³) = 7.17